DFT (PBE with a Hubbard U) results for a geometry-optimized Rb2CrNi3F12 structure.

POSCAR file:
```
Rb2CrNi3F12
1.0
3.5995 2.0782 6.0627
-3.5995 2.0782 6.0627
0.0000 -4.1563 6.0627
Rb Cr Ni F
2 1 3 12
Cartesian
0.0000 0.0000 2.1851
0.0000 0.0000 16.0031
0.0000 0.0000 9.0941
-1.7997 -1.0391 6.0627
-1.7997 1.0391 12.1254
0.0000 2.0782 6.0627
0.0000 -1.6429 5.6271
-1.4228 0.8215 5.6271
-1.4010 -0.8088 8.0452
-1.4228 -0.8215 12.5611
0.0000 -1.6177 10.1430
-1.4010 0.8089 10.1430
1.4010 -0.8089 8.0452
0.0000 1.6177 8.0452
1.4228 0.8215 5.6271
1.4010 0.8089 10.1430
1.4228 -0.8215 12.5611
0.0000 1.6429 12.5611
```

Properties
Raw total energy ... -4.59 eV per atom
Total magnetic moment ... 2.3 μB/cell